AgH4Pd6: optimized geometry, PBE.

Properties
E_tot ... -4.30 eV/atom

POSCAR file:
```
AgH4Pd6
1.0
4.094 0.000 0.000
0.000 11.182 0.000
-0.003 0.000 5.702
Ag H Pd
2 8 12
Cartesian
0.025 2.795 2.382
4.066 8.386 3.320
0.250 6.802 1.361
0.250 9.970 1.361
1.475 6.086 3.452
1.475 10.686 3.452
2.616 0.495 2.250
2.616 5.095 2.250
3.842 1.211 4.341
3.842 4.379 4.341
0.000 0.000 0.000
0.000 5.591 0.000
0.012 2.795 5.195
2.025 6.825 1.875
2.025 9.947 1.875
2.038 7.054 4.754
2.038 9.719 4.754
2.053 1.463 0.948
2.053 4.128 0.948
2.067 1.235 3.827
2.067 4.356 3.827
4.079 8.386 0.507
```

ZnHgW2: optimized geometry, PBE.

Properties
Formation energy ... 0.590 eV/atom
E_tot ... -6.28 eV/atom

POSCAR file:
```
ZnHgW2
1.0
2.755 0.000 0.000
0.000 4.545 0.000
-1.187 0.000 5.370
Zn Hg W
1 1 2
Cartesian
0.000 0.000 0.000
-0.594 0.000 2.685
1.054 2.272 1.238
0.514 2.272 4.132
```

Dy4Ho2Sc: optimized geometry, PBE.

Properties
Formation energy ... 0.188 eV/atom
E_tot ... -4.65 eV/atom

POSCAR file:
```
Dy4Ho2Sc
1.0
2.728 -6.016 0.000
2.728 6.016 0.000
0.000 0.000 13.232
Dy Ho Sc
8 4 2
Cartesian
2.728 4.294 10.853
2.728 3.075 7.612
2.728 2.942 0.996
2.728 1.722 4.236
2.728 -1.722 8.996
2.728 -2.942 12.236
2.728 -3.075 5.620
2.728 -4.294 2.380
2.728 5.183 4.560
2.728 0.833 11.176
2.728 -0.833 2.056
2.728 -5.183 8.672
0.000 0.000 0.000
2.728 0.000 6.616
```

YMgHgSb2: optimized geometry, PBE.

Properties
E_form (uncorrected) ... 0.231 eV/atom
E_tot ... -3.09 eV/atom

POSCAR file:
```
YMgHgSb2
1.0
5.787 0.000 0.000
0.000 5.787 0.000
0.000 0.000 5.828
Y Mg Hg Sb
1 1 1 2
Cartesian
0.000 0.000 0.000
2.894 2.894 2.914
0.000 0.000 2.914
0.000 2.894 0.000
2.894 0.000 0.000
```

NaDySbAu: optimized geometry, PBE.

Properties
E_form (uncorrected) ... -0.665 eV/atom
E_tot ... -4.00 eV/atom

POSCAR file:
```
NaDySbAu
1.0
7.322 0.000 0.000
0.000 7.322 0.000
0.000 0.000 7.322
Na Dy Sb Au
4 4 4 4
Cartesian
0.000 0.000 0.000
0.000 3.661 3.661
3.661 0.000 3.661
3.661 3.661 0.000
0.000 0.000 3.661
0.000 3.661 0.000
3.661 0.000 0.000
3.661 3.661 3.661
1.830 1.830 1.830
1.830 5.491 5.491
5.491 1.830 5.491
5.491 5.491 1.830
1.830 1.830 5.491
1.830 5.491 1.830
5.491 1.830 1.830
5.491 5.491 5.491
```

CsTbI4: optimized geometry, PBE.

Properties
E_form (uncorrected) ... -1.461 eV/atom
E_tot ... -3.41 eV/atom

POSCAR file:
```
CsTbI4
1.0
5.705 -9.171 0.000
5.705 9.171 0.000
-2.031 0.000 7.713
Cs Tb I
2 2 8
Cartesian
4.181 4.660 5.785
5.197 -4.660 1.928
5.197 7.977 1.928
4.181 -7.977 5.785
3.089 5.909 2.333
1.461 1.044 1.012
0.446 -1.044 4.868
7.304 5.909 1.524
2.073 -5.909 6.190
8.932 1.044 2.845
7.917 -1.044 6.702
6.289 -5.909 5.380
```

- E_tot of number 6 (CsTbI4)?
  -3.41 eV/atom